# 1
Compound: DyZn3Pd3
Source: the Alexandria database
Functional: PBE-GGA
Structure: relaxed

abc: 6.725 6.725 7.371
angles: 62.86 62.86 60.00
Fractional coordinates of all 14 atoms:
Dy 0.340 0.340 0.979
Dy 0.660 0.660 0.021
Zn 0.563 0.738 0.610
Zn 0.738 0.088 0.610
Zn 0.088 0.563 0.610
Zn 0.912 0.437 0.390
Zn 0.262 0.912 0.390
Zn 0.437 0.262 0.390
Pd 0.179 0.696 0.194
Pd 0.931 0.179 0.194
Pd 0.696 0.931 0.194
Pd 0.304 0.069 0.806
Pd 0.069 0.821 0.806
Pd 0.821 0.304 0.806

Properties
- Spin magnetization: 0.00 μB/f.u.
- Formation energy: -0.5357 eV per atom
- Uncorrected energy: -3.96 eV per atom
- Energy above the most stable polymorph in this dataset: 0 meV/atom
- Space-group type: R-3
- DOS at the Fermi energy: 0.328 states/eV/atom
- V: 245.41 Å³/cell

# 2
Compound: YTa2Fe2
Source: the Alexandria database
Functional: PBE-GGA
Structure: relaxed

abc: 4.287 4.287 5.930
angles: 68.81 68.81 90.00
Fractional coordinates of all 5 atoms:
Y 0.000 0.000 0.000
Fe 0.750 0.250 0.500
Fe 0.250 0.750 0.500
Ta 0.361 0.361 0.279
Ta 0.639 0.639 0.721

Properties
- Spin magnetization: 1.13 μB/f.u.
- Formation energy: 0.3082 eV per atom
- Uncorrected energy: -9.11 eV per atom
- Energy above the most stable polymorph in this dataset: 402 meV/atom
- Space-group type: I4/mmm
- DOS at the Fermi energy: 1.511 states/eV/atom
- V: 93.66 Å³/cell

# 3
Compound: La4CoSeBr2
Source: the Alexandria database
Functional: PBE-GGA
Structure: relaxed

abc: 4.053 7.875 7.713
angles: 72.42 90.00 90.00
Fractional coordinates of all 8 atoms:
La 0.000 0.720 0.751
La 0.000 0.280 0.249
La 0.500 0.695 0.297
La 0.500 0.305 0.703
Co 0.000 0.500 0.500
Se 0.500 0.500 0.000
Br 0.000 0.000 0.000
Br 0.500 0.000 0.500

Properties
- Spin magnetization: 0.00 μB/f.u.
- Uncorrected energy: -5.43 eV per atom
- Space-group type: P2/m
- DOS at the Fermi energy: 0.699 states/eV/atom
- Formation energy without anion corrections: -1.22 eV/atom
- V: 234.68 Å³/cell

# 4
Compound: RbSrHg12
Source: the Alexandria database
Functional: PBE-GGA
Structure: relaxed

abc: 7.040 7.040 14.667
angles: 90.00 90.00 90.00
Fractional coordinates of all 14 atoms:
Rb 0.000 0.000 0.500
Sr 0.000 0.000 0.000
Hg 0.196 0.500 0.247
Hg 0.196 0.500 0.753
Hg 0.500 0.500 0.404
Hg 0.500 0.500 0.906
Hg 0.500 0.196 0.247
Hg 0.500 0.196 0.753
Hg 0.500 0.500 0.094
Hg 0.500 0.500 0.596
Hg 0.500 0.804 0.247
Hg 0.500 0.804 0.753
Hg 0.804 0.500 0.247
Hg 0.804 0.500 0.753

Properties
- Spin magnetization: 0.00 μB/f.u.
- Formation energy: 0.1660 eV per atom
- Uncorrected energy: -0.28 eV per atom
- Space-group type: P4/mmm
- DOS at the Fermi energy: 0.453 states/eV/atom
- V: 726.96 Å³/cell

# 5
Compound: CaSnI2O
Source: the Alexandria database
Functional: PBE-GGA
Structure: relaxed

abc: 6.155 6.155 4.151
angles: 90.00 90.00 90.00
Fractional coordinates of all 5 atoms:
I 0.000 0.500 0.000
I 0.500 0.000 0.000
Ca 0.000 0.000 0.000
Sn 0.500 0.500 0.500
O 0.000 0.000 0.500

Properties
- Spin magnetization: 0.39 μB/f.u.
- Uncorrected energy: -3.60 eV per atom
- Energy above the most stable polymorph in this dataset: 0 meV/atom
- Space-group type: P4/mmm
- DOS at the Fermi energy: 0.208 states/eV/atom
- Formation energy without anion corrections: -0.79 eV/atom
- V: 157.25 Å³/cell

# 6
Compound: TaSbW
Source: the Alexandria database
Functional: PBE-GGA
Structure: relaxed

abc: 4.513 4.513 4.513
angles: 60.00 60.00 60.00
Fractional coordinates of all 3 atoms:
Sb 0.000 0.000 0.000
Ta 0.500 0.500 0.500
W 0.750 0.750 0.750

Properties
- Spin magnetization: 0.00 μB/f.u.
- Uncorrected energy: -9.05 eV per atom
- Energy above the most stable polymorph in this dataset: 267 meV/atom
- Space-group type: F-43m
- DOS at the Fermi energy: 1.283 states/eV/atom
- Formation energy without anion corrections: 0.60 eV/atom
- V: 65.01 Å³/cell

# 7
Compound: La4Nd2Y
Source: the Alexandria database
Functional: PBE-GGA
Structure: relaxed

abc: 6.404 8.240 9.801
angles: 90.02 89.82 104.72
Fractional coordinates of all 14 atoms:
La 0.018 0.731 0.571
La 0.446 0.018 0.999
La 0.874 0.305 0.428
La 0.304 0.090 0.356
La 0.588 0.947 0.642
La 0.161 0.660 0.215
La 0.876 0.803 0.929
La 0.305 0.589 0.858
Nd 0.732 0.875 0.285
Nd 0.732 0.374 0.786
Nd 0.160 0.162 0.714
Nd 0.589 0.445 0.144
Y 0.448 0.517 0.501
Y 0.017 0.233 0.070

Properties
- Spin magnetization: 0.00 μB/f.u.
- Formation energy: 0.0154 eV per atom
- Uncorrected energy: -5.09 eV per atom
- Energy above the most stable polymorph in this dataset: 0 meV/atom
- Space-group type: P1
- DOS at the Fermi energy: 1.767 states/eV/atom
- V: 500.19 Å³/cell

# 8
Compound: CsPtI2O
Source: the Alexandria database
Functional: PBE-GGA
Structure: relaxed

abc: 6.203 6.203 3.884
angles: 90.00 90.00 90.00
Fractional coordinates of all 5 atoms:
Cs 0.500 0.500 0.500
I 0.000 0.500 0.000
I 0.500 0.000 0.000
O 0.000 0.000 0.500
Pt 0.000 0.000 0.000

Properties
- Spin magnetization: 0.25 μB/f.u.
- Uncorrected energy: -3.50 eV per atom
- Energy above the most stable polymorph in this dataset: 0 meV/atom
- Space-group type: P4/mmm
- DOS at the Fermi energy: 0.745 states/eV/atom
- Formation energy without anion corrections: -0.51 eV/atom
- V: 149.42 Å³/cell

# 9
Compound: HoGePt2
Source: the Alexandria database
Functional: PBE-GGA
Structure: relaxed

abc: 5.515 7.157 14.828
angles: 90.00 90.00 90.00
Fractional coordinates of all 32 atoms:
Ho 0.481 0.250 0.136
Ho 0.981 0.750 0.364
Ho 0.519 0.750 0.864
Ho 0.019 0.250 0.636
Ho 0.756 0.250 0.389
Ho 0.256 0.750 0.111
Ho 0.244 0.750 0.611
Ho 0.744 0.250 0.889
Ge 0.247 0.250 0.318
Ge 0.747 0.750 0.182
Ge 0.753 0.750 0.682
Ge 0.253 0.250 0.818
Ge 0.975 0.250 0.069
Ge 0.475 0.750 0.431
Ge 0.025 0.750 0.931
Ge 0.525 0.250 0.569
Pt 0.958 0.052 0.218
Pt 0.458 0.948 0.282
Pt 0.042 0.552 0.782
Pt 0.542 0.448 0.718
Pt 0.042 0.948 0.782
Pt 0.542 0.052 0.718
Pt 0.958 0.448 0.218
Pt 0.458 0.552 0.282
Pt 0.738 0.549 0.031
Pt 0.238 0.451 0.469
Pt 0.262 0.049 0.969
Pt 0.762 0.951 0.531
Pt 0.262 0.451 0.969
Pt 0.762 0.549 0.531
Pt 0.738 0.951 0.031
Pt 0.238 0.049 0.469

Properties
- Spin magnetization: 0.00 μB/f.u.
- Formation energy: -1.0252 eV per atom
- Uncorrected energy: -6.34 eV per atom
- Space-group type: Pnma
- DOS at the Fermi energy: 0.479 states/eV/atom
- V: 585.31 Å³/cell

# 10
Compound: La2NdSmDy
Source: the Alexandria database
Functional: PBE-GGA
Structure: relaxed

abc: 5.911 6.430 9.837
angles: 70.98 90.00 90.00
Fractional coordinates of all 10 atoms:
La 0.750 0.768 0.804
La 0.250 0.232 0.196
La 0.250 0.037 0.600
La 0.750 0.963 0.400
Nd 0.750 0.366 0.602
Nd 0.250 0.634 0.398
Sm 0.750 0.569 0.195
Sm 0.250 0.431 0.805
Dy 0.250 0.836 0.000
Dy 0.750 0.164 0.000

Properties
- Spin magnetization: 0.00 μB/f.u.
- Formation energy: 0.0336 eV per atom
- Uncorrected energy: -4.76 eV per atom
- Space-group type: P2_1/m
- DOS at the Fermi energy: 1.731 states/eV/atom
- V: 353.46 Å³/cell

# 11
Compound: Mg3NiSn
Source: the Alexandria database
Functional: PBE-GGA
Structure: relaxed

abc: 5.268 5.268 5.268
angles: 90.00 90.00 90.00
Fractional coordinates of all 5 atoms:
Ni 0.500 0.500 0.500
Mg 0.000 0.500 0.000
Mg 0.000 0.000 0.500
Mg 0.500 0.000 0.000
Sn 0.000 0.000 0.000

Properties
- Spin magnetization: 0.00 μB/f.u.
- Formation energy: 0.7601 eV per atom
- Uncorrected energy: -2.15 eV per atom
- Energy above the most stable polymorph in this dataset: 879 meV/atom
- Space-group type: Pm-3m
- DOS at the Fermi energy: 4.286 states/eV/atom
- V: 146.21 Å³/cell

# 12
Compound: CdRu2Br
Source: the Alexandria database
Functional: PBE-GGA
Structure: relaxed

abc: 2.969 5.019 4.725
angles: 90.00 90.00 90.00
Fractional coordinates of all 4 atoms:
Ru 0.000 0.000 0.000
Ru 0.500 0.500 0.000
Br 0.500 0.000 0.500
Cd 0.000 0.500 0.500

Properties
- Spin magnetization: 1.35 μB/f.u.
- Uncorrected energy: -4.43 eV per atom
- Energy above the most stable polymorph in this dataset: 575 meV/atom
- Space-group type: Pmmm
- DOS at the Fermi energy: 1.095 states/eV/atom
- Formation energy without anion corrections: 0.86 eV/atom
- V: 70.40 Å³/cell

What is the uncorrected energy in the third record?
-5.43 eV per atom